Entry from the Alexandria database: a geometry-optimized TaBeAg structure (PBE-GGA).

## Properties
For the formation enthalpy at 0 K, the calculation gives 0.19 eV/atom. Its raw total energy is -17.86 eV per formula unit. The value obtained for the excess energy over the best structure of this formula in the dataset is 0.186 eV/atom. Its symmetry is P-1, No. 2. Its spin magnetization is 0.0000 μB per atom.

Unit cell a=2.9037 b=5.2101 c=6.3248 alpha=105.26 beta=90.12 gamma=105.87
Atoms (fractional coordinates):
Ta1 0.1544 0.3065 0.0884
Ta2 0.8456 0.6935 0.9116
Be1 0.4764 0.9556 0.2457
Be2 0.5236 0.0444 0.7543
Ag1 0.1449 0.2899 0.5592
Ag2 0.8551 0.7101 0.4408